(1)
Density functional theory data (PBE) for an optimized crystal structure of KOsBr2.

a = 9.4325 Å, b = 9.4325 Å, c = 9.4325 Å
α = 24.26°, β = 24.26°, γ = 24.26°
Fractional coordinates of all 4 atoms:
1 K 0.0000 0.0000 0.0000
2 Os 0.5000 0.5000 0.5000
3 Br 0.8771 0.8771 0.8771
4 Br 0.1229 0.1229 0.1229

Output
* uncorrected energy: -3.590 eV per atom
* E above lowest polymorph: 27.2 kJ per mole of atoms
* D(E_F): 0.451 states/eV per atom
* SG: R-3m (166)


(2)
Density functional theory data (PBE) for an optimized crystal structure of K4Er3TmSe8.

a = 8.3522 Å, b = 9.0661 Å, c = 8.3524 Å
α = 117.44°, β = 120.00°, γ = 90.00°
Fractional coordinates of all 16 atoms:
1 K 0.5000 0.0000 0.0000
2 K 0.5000 0.0000 0.5000
3 K 0.0000 0.0000 0.0000
4 K 0.0000 0.0000 0.5000
5 Er 0.5000 0.5000 0.0000
6 Er 0.5000 0.5000 0.5000
7 Er 0.0000 0.5000 0.5000
8 Tm 0.0000 0.5000 0.0000
9 Se 0.2339 0.7031 0.9693
10 Se 0.2339 0.7031 0.4679
11 Se 0.2654 0.2964 0.5309
12 Se 0.7354 0.7031 0.9693
13 Se 0.2646 0.2969 0.0307
14 Se 0.7346 0.7036 0.4691
15 Se 0.7661 0.2969 0.5321
16 Se 0.7661 0.2969 0.0307

Output
* uncorrected energy: -4.908 eV per atom
* D(E_F): 0.000 states/eV per atom
* SG: R-3m (166)


(3)
Density functional theory data (PBE) for an optimized crystal structure of CsMgGa2Cl8.

a = 6.5595 Å, b = 6.5595 Å, c = 10.4957 Å
α = 71.79°, β = 71.79°, γ = 60.00°
Fractional coordinates of all 12 atoms:
1 Cs 0.5000 0.5000 0.5000
2 Mg 0.0000 0.0000 0.0000
3 Ga 0.2627 0.2627 0.2119
4 Ga 0.7373 0.7373 0.7881
5 Cl 0.1857 0.1857 0.4428
6 Cl 0.6365 0.2673 0.1529
7 Cl 0.8143 0.8143 0.5572
8 Cl 0.9433 0.6365 0.1529
9 Cl 0.0567 0.3635 0.8471
10 Cl 0.2673 0.9433 0.1529
11 Cl 0.7327 0.0567 0.8471
12 Cl 0.3635 0.7327 0.8471

Output
* uncorrected energy: -3.263 eV per atom
* D(E_F): 0.518 states/eV per atom
* SG: R-3 (148)


(4)
Density functional theory data (PBE) for an optimized crystal structure of Pr2YGa3Pt4.

a = 4.2831 Å, b = 4.2831 Å, c = 11.4349 Å
α = 90.00°, β = 90.00°, γ = 90.00°
Fractional coordinates of all 10 atoms:
1 Pr 0.5000 0.0000 0.2275
2 Pr 0.0000 0.5000 0.7725
3 Y 0.5000 0.5000 0.5000
4 Ga 0.0000 0.0000 0.5000
5 Ga 0.5000 0.0000 0.8777
6 Ga 0.0000 0.5000 0.1223
7 Pt 0.5000 0.5000 0.0000
8 Pt 0.0000 0.0000 0.0000
9 Pt 0.5000 0.0000 0.6580
10 Pt 0.0000 0.5000 0.3420

Output
* uncorrected energy: -5.900 eV per atom
* D(E_F): 0.701 states/eV per atom
* SG: P-4m2 (115)


(5)
Density functional theory data (PBE) for an optimized crystal structure of PtRh2.

a = 9.4143 Å, b = 9.4143 Å, c = 9.4143 Å
α = 159.99°, β = 159.99°, γ = 28.44°
Fractional coordinates of all 6 atoms:
1 Pt 0.0000 0.0000 0.0000
2 Pt 0.7500 0.2500 0.5000
3 Rh 0.1780 0.6780 0.5000
4 Rh 0.3220 0.8220 0.5000
5 Rh 0.4280 0.4280 0.0000
6 Rh 0.5720 0.5720 0.0000

Output
* uncorrected energy: -6.529 eV per atom
* E above lowest polymorph: 39.7 kJ per mole of atoms
* D(E_F): 1.060 states/eV per atom
* SG: I4_1/amd (141)


(6)
Density functional theory data (PBE) for an optimized crystal structure of BiPS2O.

a = 5.1104 Å, b = 5.1104 Å, c = 5.5386 Å
α = 90.00°, β = 90.00°, γ = 90.00°
Fractional coordinates of all 5 atoms:
1 P 0.0000 0.0000 0.5000
2 S 0.0000 0.5000 0.0000
3 S 0.5000 0.0000 0.0000
4 Bi 0.0000 0.0000 0.0000
5 O 0.5000 0.5000 0.5000

Output
* uncorrected energy: -2.877 eV per atom
* E above lowest polymorph: 111.1 kJ per mole of atoms
* D(E_F): 2.755 states/eV per atom
* SG: P4/mmm (123)


(7)
Density functional theory data (PBE) for an optimized crystal structure of LiTaGeRuI.

a = 3.5029 Å, b = 4.4845 Å, c = 7.9834 Å
α = 91.75°, β = 90.14°, γ = 112.91°
Fractional coordinates of all 5 atoms:
1 Li 0.7882 0.4960 0.2068
2 Ta 0.7890 0.5093 0.5959
3 Ge 0.0629 0.0582 0.4560
4 Ru 0.4887 0.9083 0.6984
5 I 0.4820 0.8886 0.0324

Output
* uncorrected energy: -5.877 eV per atom
* E above lowest polymorph: 17.4 kJ per mole of atoms
* D(E_F): 0.997 states/eV per atom
* SG: P1 (1)


(8)
Density functional theory data (PBE) for an optimized crystal structure of VBiI2.

a = 10.1970 Å, b = 10.1970 Å, c = 7.7099 Å
α = 48.60°, β = 48.60°, γ = 90.00°
Fractional coordinates of all 8 atoms:
1 I 0.4757 0.1250 0.2500
2 I 0.2743 0.6250 0.2500
3 I 0.3750 0.5243 0.7500
4 I 0.8750 0.7257 0.7500
5 Bi 0.0000 0.0000 0.0000
6 Bi 0.7500 0.2500 0.5000
7 V 0.5000 0.5000 0.0000
8 V 0.2500 0.7500 0.5000

Output
* uncorrected energy: -3.936 eV per atom
* E above lowest polymorph: 8.4 kJ per mole of atoms
* D(E_F): 0.455 states/eV per atom
* SG: I-42d (122)